ZnFePd5 | PBE | optimized geometry

Summary:
For the theoretical density, the calculation gives 10.2 Mg/m³. The total energy comes out at -5.249 eV per atom. The formation energy is -101 kJ/mol of formula units. As for the volume: 425.9 Å³/cell. The density of states at the Fermi level comes out at 0.60 states/eV/atom.

a = 11.803 Å, b = 7.100 Å, c = 5.197 Å
α = 90.00°, β = 102.04°, γ = 90.00°
Space group C2/c (No. 15)
One atom of each set of equivalent atoms:
Zn1 0.000 0.236 0.250
Fe1 0.250 0.250 0.000
Pd1 0.000 0.132 0.750
Pd2 0.111 0.465 0.653
Pd3 0.186 0.093 0.515

CsSb | PBE | optimized geometry

Summary:
For the theoretical density, the calculation gives 2.7 Mg/m³. The formation energy without anion corrections is -0.70 eV per formula unit. The total energy comes out at -2.840 eV per atom. The energy above the most stable polymorph in this dataset comes out at 112 meV per atom. As for the volume: 952.1 Å³/cell.

a = 13.1123 Å, b = 13.1123 Å, c = 6.3942 Å
α = 90.00°, β = 90.00°, γ = 120.00°
Space group P6_3/m (No. 176)
One atom of each set of equivalent atoms:
Cs1 0.1268 0.4647 0.2500
Sb1 0.2096 0.6732 0.7500

La4Pr3Zn4 | PBE | optimized geometry

Summary:
For the theoretical density, the calculation gives 6.3 Mg/m³. The total energy comes out at -3.680 eV per atom. The formation energy is -129 kJ/mol of formula units. As for the volume: 651.9 Å³/cell. The density of states at the Fermi level comes out at 1.10 states/eV/atom.

a = 5.235 Å, b = 7.502 Å, c = 16.597 Å
α = 90.00°, β = 90.00°, γ = 90.00°
Space group Immm (No. 71)
One atom of each set of equivalent atoms:
La1 0.000 0.218 0.175
Pr1 0.000 0.000 0.398
Pr2 0.000 0.500 0.500
Zn1 0.000 0.331 0.000
Zn2 0.000 0.500 0.315